This record from OQMD describes a relaxed structure of CsAgTe2PbSe. The functional is PBE.

Lattice parameters (Å, degrees): 8.717 8.717 11.910 90.00 90.00 152.69
Atoms (fractional coordinates):
Ag  0.055  0.945  0.250
Ag  0.945  0.055  0.750
Cs  0.773  0.227  0.250
Cs  0.227  0.773  0.750
Pb  0.500  0.500  0.000
Pb  0.500  0.500  0.500
Se  0.456  0.544  0.250
Se  0.544  0.456  0.750
Te  0.136  0.864  0.044
Te  0.136  0.864  0.456
Te  0.864  0.136  0.544
Te  0.864  0.136  0.956

Density = 6.3 g/cm3
VASP energy = -3.2109 eV per atom